1.
## CrFe12Co6 (PBE)

Data for a relaxed structure of CrFe12Co6.

The total magnetization is 110.27 Bohr magnetons per cell. As for the energy relative to the elements: 0.125 eV/atom.

Cell: 8.5861 8.5861 10.6221 Å, 90.00 90.00 120.00°
Closest atoms and distances in Å follow each position.
Space group R-3 (No. 148, hexagonal axes)
Asymmetric unit:
1 Cr 0.0000 0.0000 0.0000 (multiplicity 3)  6 Co 2.38, 6 Fe 2.50
2 Fe 0.0487 0.8605 0.8088 (multiplicity 18)  4 Fe 2.35-2.59, 1 Cr 2.50, 5 Co 2.53-2.62
3 Fe 0.0668 0.2381 0.4191 (multiplicity 18)  4 Co 2.40-2.53, 5 Fe 2.48-2.67
4 Co 0.0285 0.5851 0.7059 (multiplicity 18)  1 Cr 2.38, 9 Fe 2.40-2.62, 2 Co 2.49

=====

2.
## NdErTmPu (PBE)

Data for a relaxed structure of NdErTmPu.

The total magnetization is 24.76 Bohr magnetons per cell. As for the energy relative to the elements: 0.197 eV/atom.

Cell: 7.9236 7.9236 7.9236 Å, 90.00 90.00 90.00°
Closest atoms and distances in Å follow each position.
Space group F-43m (No. 216)
Asymmetric unit:
1 Nd 0.0000 0.0000 0.0000 (multiplicity 4)  4 Er 3.43, 4 Tm 3.43
2 Er 0.2500 0.2500 0.2500 (multiplicity 4)  4 Nd 3.43, 4 Pu 3.43
3 Tm 0.2500 0.2500 0.7500 (multiplicity 4)  4 Nd 3.43, 4 Pu 3.43
4 Pu 0.0000 0.0000 0.5000 (multiplicity 4)  4 Tm 3.43, 4 Er 3.43